No. 1
Computed, not measured: a relaxed structure of YCo3 at the PBE level of DFT.

Lattice parameters (Å, degrees): 5.7055 5.7055 8.5485 90.00 90.00 120.00
Space group P6_3/mmc (No. 194)
Unique sites:
Y 0.0000 0.0000 0.0000 x2
Y 0.3333 0.6667 0.2500 x2
Co 0.0000 0.5000 0.0000 x6
Co 0.2005 0.4010 0.7500 x6


No. 2
Computed, not measured: a relaxed structure of YZn2Co at the PBE level of DFT.

Lattice parameters (Å, degrees): 4.027 4.046 8.256 90.00 90.00 90.00
Space group Immm (No. 71)
Unique sites:
Y 0.000 0.000 0.000 x2
Zn 0.000 0.500 0.249 x4
Co 0.000 0.000 0.500 x2


No. 3
Computed, not measured: a relaxed structure of Y2Zn2Co at the PBE level of DFT.

Relative energy among the computed polymorphs ... 197.5 meV per atom

Lattice parameters (Å, degrees): 6.844 6.844 4.393 90.00 90.00 90.00
Space group P4/mbm (No. 127)
Unique sites:
Y 0.180 0.320 0.000 x4
Zn 0.131 0.631 0.500 x4
Co 0.000 0.000 0.500 x2


No. 4
Computed, not measured: a relaxed structure of YZn9Co2 at the PBE level of DFT.

Lattice parameters (Å, degrees): 10.326 10.326 6.762 90.00 90.00 90.00
Space group I4_1/amd (No. 141, origin choice 2)
Unique sites:
Y 0.000 0.250 0.375 x4
Zn 0.000 0.250 0.875 x4
Zn 0.121 0.046 0.687 x32
Co 0.000 0.000 0.000 x8


no.,E_tot (eV/atom)
1,-6.825
2,-4.145
3,-4.603
4,-2.841